Material: Y4Cd2In5
Method: DFT, PBE-GGA
State: relaxed

Calculated values
Space-group type   P2/m
Electronic total energy   -4.1469 eV/atom
Total magnetization   0.00 μB per formula unit

Lattice parameters (Å, degrees): 3.632 8.376 9.652 88.91 90.00 90.00
Sites, in units of the cell vectors:
In  0.000  0.114  0.124
Y  0.500  0.226  0.867
In  0.000  0.886  0.876
Y  0.500  0.253  0.375
Cd  0.000  0.083  0.623
Y  0.500  0.774  0.133
In  0.000  0.569  0.354
In  0.000  0.500  0.000
In  0.000  0.431  0.646
Cd  0.000  0.917  0.377
Y  0.500  0.747  0.625

***

Material: Y12CdIn3
Method: DFT, PBE-GGA
State: relaxed

Calculated values
Space-group type   P4/mmm
Electronic total energy   -5.6544 eV/atom
Total magnetization   4.04 μB per formula unit

Lattice parameters (Å, degrees): 4.870 4.870 19.478 90.00 90.00 90.00
Each line ends with the local moment (μB).
Sites, in units of the cell vectors:
Y  0.000  0.500  0.875  0.19
Cd  0.000  0.000  0.000  0.00
Y  0.500  0.000  0.125  0.19
Y  0.500  0.500  0.500  0.22
In  0.000  0.000  0.500  -0.02
Y  0.500  0.000  0.625  0.21
Y  0.500  0.500  0.000  0.14
Y  0.000  0.500  0.625  0.21
In  0.000  0.000  0.750  -0.02
Y  0.500  0.500  0.250  0.20
Y  0.500  0.500  0.750  0.20
Y  0.500  0.000  0.875  0.19
Y  0.000  0.500  0.125  0.19
In  0.000  0.000  0.250  -0.02
Y  0.000  0.500  0.375  0.21
Y  0.500  0.000  0.375  0.21

***

Material: Y6CdIn5
Method: DFT, PBE-GGA
State: relaxed

Calculated values
Space-group type   P2/m
Electronic total energy   -4.9352 eV/atom
Total magnetization   0.00 μB per formula unit

Lattice parameters (Å, degrees): 5.339 7.454 8.457 90.00 71.47 90.00
Sites, in units of the cell vectors:
In  0.664  0.000  0.672
Y  0.500  0.750  0.000
Cd  0.000  0.000  0.000
In  0.333  0.500  0.334
Y  0.833  0.751  0.333
Y  0.833  0.249  0.333
Y  0.167  0.249  0.667
Y  0.500  0.250  0.000
In  0.336  0.000  0.328
Y  0.167  0.751  0.667
In  0.667  0.500  0.666
In  0.000  0.500  0.000

***

Material: YCdIn2
Method: DFT, PBE-GGA
State: relaxed

Calculated values
Space-group type   I-42d
Electronic total energy   -3.2833 eV/atom
Total magnetization   0.00 μB per formula unit

Lattice parameters (Å, degrees): 4.514 4.514 11.375 78.56 78.56 90.00
Sites, in units of the cell vectors:
In  0.375  0.368  0.750
In  0.118  0.625  0.250
Y  0.250  0.750  0.500
Cd  0.000  0.000  0.000
In  0.875  0.882  0.750
In  0.632  0.125  0.250
Y  0.500  0.500  0.000
Cd  0.750  0.250  0.500

***

Material: Y3Cd4In2
Method: DFT, PBE-GGA
State: relaxed

Calculated values
Space-group type   C2/m
Electronic total energy   -3.5709 eV/atom
Total magnetization   0.00 μB per formula unit

Lattice parameters (Å, degrees): 4.935 6.076 9.299 115.34 90.00 113.96
Sites, in units of the cell vectors:
Cd  0.074  0.148  0.410
In  0.391  0.782  0.726
Cd  0.707  0.414  0.036
Cd  0.926  0.852  0.590
Cd  0.293  0.586  0.964
Y  0.666  0.332  0.670
In  0.609  0.218  0.274
Y  0.334  0.668  0.330
Y  0.000  0.000  0.000

***

Material: Y3Cd3In2
Method: DFT, PBE-GGA
State: relaxed

Calculated values
Space-group type   Cmcm
Electronic total energy   -3.8096 eV/atom
Total magnetization   0.00 μB per formula unit

Lattice parameters (Å, degrees): 4.728 6.159 15.545 90.00 90.00 112.57
Sites, in units of the cell vectors:
Cd  0.615  0.230  0.465
In  0.793  0.586  0.610
Y  0.650  0.299  0.250
Cd  0.375  0.749  0.250
Y  0.350  0.701  0.750
Y  0.081  0.163  0.888
Cd  0.615  0.230  0.035
Cd  0.385  0.770  0.535
Cd  0.385  0.770  0.965
In  0.207  0.414  0.110
Y  0.919  0.837  0.112
In  0.793  0.586  0.890
Y  0.081  0.163  0.612
In  0.207  0.414  0.390
Y  0.919  0.837  0.388
Cd  0.625  0.251  0.750

***

Number 1: formation energy -0.3852 eV per atom. Number 2: formation energy -0.2357 eV per atom. Number 3: formation energy -0.4859 eV per atom. Number 4: formation energy -0.0692 eV per atom. Number 5: formation energy -0.4010 eV per atom. Number 6: formation energy -0.3578 eV per atom.